No. 1
DyEr2Zr: optimized geometry, GGA-PBE.

Cell lengths 3.411, 3.411, 9.784 Å; angles 90.00, 90.00, 90.00 degrees
Positions (direct):
Dy1 0.000 0.000 0.000
Er1 0.500 0.500 0.268
Er2 0.500 0.500 0.732
Zr1 0.000 0.000 0.500

Properties
ΔH_f (0 K)   0.2 eV per formula unit
D(E_F)   5.259 states/eV/cell

***

No. 2
KBePdF6: optimized geometry, GGA-PBE.

Cell lengths 5.493, 5.493, 5.891 Å; angles 91.81, 91.81, 128.08 degrees
Positions (direct):
K1 0.000 0.000 0.000
Be1 0.427 0.573 0.500
Pd1 0.708 0.292 0.500
F1 0.119 0.422 0.353
F2 0.362 0.304 0.650
F3 0.470 0.046 0.221
F4 0.578 0.881 0.647
F5 0.696 0.638 0.350
F6 0.954 0.530 0.779

Properties
ΔE_f (raw)   -2.2666 eV per atom

***

No. 3
TaBiSeN2: optimized geometry, GGA-PBE.

Cell lengths 4.206, 4.206, 5.412 Å; angles 90.00, 90.00, 90.00 degrees
Positions (direct):
Ta1 0.000 0.000 0.000
Bi1 0.500 0.500 0.500
Se1 0.500 0.500 0.000
N1 0.000 0.500 0.500
N2 0.500 0.000 0.500

Properties
ΔE_f (raw)   1.9866 eV per atom
D(E_F)   5.000 states/eV/cell

***

No. 4
SbOsCl: optimized geometry, GGA-PBE.

Cell lengths 4.442, 4.442, 4.442 Å; angles 60.00, 60.00, 60.00 degrees
Positions (direct):
Sb1 0.000 0.000 0.000
Os1 0.750 0.750 0.750
Cl1 0.500 0.500 0.500

Properties
ΔE_f (raw)   0.4274 eV per atom
D(E_F)   0.229 states/eV/cell

***

No. 5
CdBr: optimized geometry, GGA-PBE.

Cell lengths 6.464, 6.464, 6.580 Å; angles 119.12, 119.12, 37.25 degrees
Positions (direct):
Cd1 0.123 0.123 0.066
Cd2 0.877 0.877 0.934
Br1 0.198 0.198 0.711
Br2 0.802 0.802 0.289

Properties
ΔE_f (raw)   -0.6251 eV per atom
D(E_F)   0.000 states/eV/cell

***

No. 6
Ac3In7Hg2: optimized geometry, GGA-PBE.

Cell lengths 10.759, 10.759, 10.759 Å; angles 33.89, 33.89, 33.89 degrees
Positions (direct):
Ac1 0.000 0.000 0.000
Ac2 0.139 0.139 0.139
Ac3 0.861 0.861 0.861
In1 0.077 0.587 0.587
In2 0.413 0.413 0.923
In3 0.413 0.923 0.413
In4 0.500 0.500 0.500
In5 0.587 0.077 0.587
In6 0.587 0.587 0.077
In7 0.923 0.413 0.413
Hg1 0.335 0.335 0.335
Hg2 0.665 0.665 0.665

Properties
ΔH_f (0 K)   -4.0 eV per formula unit
D(E_F)   6.723 states/eV/cell

***

No. 7
BeCo2Pb: optimized geometry, GGA-PBE.

Cell lengths 3.870, 3.870, 5.063 Å; angles 111.60, 111.60, 60.04 degrees
Positions (direct):
Be1 0.000 0.000 0.000
Co1 0.306 0.306 0.916
Co2 0.694 0.694 0.084
Pb1 0.500 0.500 0.500

Properties
ΔH_f (0 K)   1.2 eV per formula unit
D(E_F)   4.801 states/eV/cell

***

No. 8
Ce3Zn4In4: optimized geometry, GGA-PBE.

Cell lengths 8.794, 8.794, 8.794 Å; angles 148.86, 132.24, 58.12 degrees
Positions (direct):
Ce1 0.000 0.000 0.000
Ce2 0.369 0.869 0.500
Ce3 0.631 0.131 0.500
Zn1 0.020 0.335 0.685
Zn2 0.350 0.665 0.685
Zn3 0.650 0.335 0.315
Zn4 0.980 0.665 0.315
In1 0.218 0.218 0.000
In2 0.303 0.500 0.803
In3 0.697 0.500 0.197
In4 0.782 0.782 0.000

Properties
ΔH_f (0 K)   -3.3 eV per formula unit
D(E_F)   20.206 states/eV/cell

***

Copy entry 1 word for word.
DyEr2Zr: optimized geometry, GGA-PBE.

Cell lengths 3.411, 3.411, 9.784 Å; angles 90.00, 90.00, 90.00 degrees
Positions (direct):
Dy1 0.000 0.000 0.000
Er1 0.500 0.500 0.268
Er2 0.500 0.500 0.732
Zr1 0.000 0.000 0.500

Properties
ΔH_f (0 K)   0.2 eV per formula unit
D(E_F)   5.259 states/eV/cell